Record 1
Entry from the Alexandria database: a relaxed HfMoRh2 crystal (GGA-PBE).

Structure (extended XYZ):
```
16
Lattice="4.054 0.000 0.000 0.000 4.054 0.000 0.000 0.000 17.414" Properties=species:S:1:pos:R:3 pbc="T T T"
Hf 0.000 0.000 0.000
Hf 0.000 2.027 4.354
Hf 2.027 0.000 13.061
Hf 2.027 2.027 8.707
Mo 0.000 0.000 8.707
Mo 0.000 2.027 13.061
Mo 2.027 0.000 4.354
Mo 2.027 2.027 0.000
Rh 0.958 1.013 10.884
Rh 1.013 2.985 15.238
Rh 1.013 3.095 6.530
Rh 1.069 1.013 2.177
Rh 2.985 3.040 2.177
Rh 3.040 0.958 6.530
Rh 3.040 1.069 15.238
Rh 3.095 3.040 10.884
```

crystal system	tetragonal
symmetry	I-42d

Record 2
Entry from the Alexandria database: a relaxed Hf2MoRh2 crystal (GGA-PBE).

Structure (extended XYZ):
```
10
Lattice="7.435 0.000 0.000 0.000 7.435 0.000 0.000 0.000 3.192" Properties=species:S:1:pos:R:3 pbc="T T T"
Hf 1.269 2.449 0.000
Hf 2.449 6.167 0.000
Hf 4.987 1.269 0.000
Hf 6.167 4.987 0.000
Mo 0.000 0.000 1.596
Mo 3.718 3.718 1.596
Rh 0.967 4.685 1.596
Rh 2.751 0.967 1.596
Rh 4.685 6.468 1.596
Rh 6.468 2.751 1.596
```

crystal system	tetragonal
symmetry	P4/mbm

Record 3
Entry from the Alexandria database: a relaxed HfMoRh3 crystal (GGA-PBE).

Structure (extended XYZ):
```
5
Lattice="4.646 0.000 0.000 0.000 4.646 0.000 0.000 0.000 4.646" Properties=species:S:1:pos:R:3 pbc="T T T"
Hf 0.000 0.000 0.000
Mo 2.323 2.323 2.323
Rh 0.000 2.323 2.323
Rh 2.323 0.000 2.323
Rh 2.323 2.323 0.000
```

crystal system	cubic
symmetry	Pm-3m

Record 4
Entry from the Alexandria database: a relaxed HfMoRh2 crystal (GGA-PBE).

Structure (extended XYZ):
```
16
Lattice="6.398 0.000 0.000 0.000 6.398 0.000 0.000 0.000 6.398" Properties=species:S:1:pos:R:3 pbc="T T T"
Hf 0.000 0.000 0.000
Hf 0.000 3.199 3.199
Hf 3.199 0.000 3.199
Hf 3.199 3.199 0.000
Mo 0.000 0.000 3.199
Mo 0.000 3.199 0.000
Mo 3.199 0.000 0.000
Mo 3.199 3.199 3.199
Rh 1.599 1.599 1.599
Rh 1.599 1.599 4.798
Rh 1.599 4.798 1.599
Rh 1.599 4.798 4.798
Rh 4.798 1.599 1.599
Rh 4.798 1.599 4.798
Rh 4.798 4.798 1.599
Rh 4.798 4.798 4.798
```

crystal system	cubic
symmetry	Fm-3m

Record 5
Entry from the Alexandria database: a relaxed HfMoRh crystal (GGA-PBE).

Structure (extended XYZ):
```
12
Lattice="4.067 0.000 0.000 0.000 4.074 0.000 0.000 0.000 12.271" Properties=species:S:1:pos:R:3 pbc="T T T"
Hf 0.000 0.000 2.310
Hf 0.000 0.000 9.961
Hf 2.034 2.037 2.310
Hf 2.034 2.037 9.961
Mo 0.000 0.000 6.136
Mo 0.000 2.037 0.000
Mo 2.034 0.000 0.000
Mo 2.034 2.037 6.136
Rh 0.000 2.037 4.269
Rh 0.000 2.037 8.002
Rh 2.034 0.000 4.269
Rh 2.034 0.000 8.002
```

crystal system	orthorhombic
symmetry	Cmmm

Record 6
Entry from the Alexandria database: a relaxed HfMo3Rh crystal (GGA-PBE).

Structure (extended XYZ):
```
5
Lattice="4.695 0.000 0.000 0.000 4.695 0.000 0.000 0.000 4.695" Properties=species:S:1:pos:R:3 pbc="T T T"
Hf 0.000 0.000 0.000
Mo 0.000 2.347 2.347
Mo 2.347 0.000 2.347
Mo 2.347 2.347 0.000
Rh 2.347 2.347 2.347
```

crystal system	cubic
symmetry	Pm-3m

| no. | V (Å³ per cell) | calculated formation energy (eV/atom) |
| --- | --- | --- |
| 1 | 286 | 0.178 |
| 2 | 176 | -0.380 |
| 3 | 100 | 0.769 |
| 4 | 262 | -0.240 |
| 5 | 203 | -0.180 |
| 6 | 103 | 1.331 |